(1)
Below is MgSb after structural relaxation, with properties calculated at the PBE level.

Cell and atoms, written as extended XYZ:
```
6
Lattice="5.4759 -2.0675 0.0000 5.4759 2.0675 0.0000 -1.0140 0.0000 6.8344" Properties=species:S:1:pos:R:3 pbc="T T T"
Mg 0.0000 0.0000 0.0000
Mg 0.8409 0.0000 4.2803
Mg 8.8437 0.0000 2.5220
Sb 3.7335 0.0000 4.6438
Sb 5.8114 0.0000 2.1402
Sb 6.9132 0.0000 6.5420
```

**D(E_F)**: 2.39 states/eV/cell

=====

(2)
Below is MgSb after structural relaxation, with properties calculated at the PBE level.

Cell and atoms, written as extended XYZ:
```
8
Lattice="-5.7066 5.7066 1.9764 5.7066 -5.7066 1.9764 5.7066 5.7066 -1.9764" Properties=species:S:1:pos:R:3 pbc="T T T"
Mg 2.1486 0.4911 0.0000
Mg 5.2155 -3.5580 1.9764
Mg 0.4911 9.2646 0.0000
Mg 3.5580 5.2155 1.9764
Sb 7.7678 2.0112 0.0000
Sb 2.0112 3.6455 0.0000
Sb 3.6955 2.0611 1.9764
Sb -2.0611 3.6955 1.9764
```

**D(E_F)**: 4.41 states/eV/cell

=====

(3)
Below is MgSb2 after structural relaxation, with properties calculated at the PBE level.

Cell and atoms, written as extended XYZ:
```
6
Lattice="5.7114 -2.7314 0.0000 5.7114 2.7314 0.0000 -3.1174 0.0000 5.1290" Properties=species:S:1:pos:R:3 pbc="T T T"
Mg 1.3907 0.0000 0.8958
Mg 6.9147 0.0000 4.2332
Sb -0.1739 0.0000 3.4525
Sb 5.7114 0.0000 0.0000
Sb 4.1527 0.0000 2.5645
Sb 8.4793 0.0000 1.6765
```

**D(E_F)**: 1.97 states/eV/cell

=====

| no. | uncorrected energy (eV per cell) | formation energy (no corrections) (eV per atom) | size of the total moment (μB/atom) |
| --- | --- | --- | --- |
| 1 | -18.3 | -0.192 | 0.000 |
| 2 | -22.4 | 0.060 | 0.000 |
| 3 | -20.4 | -0.117 | 0.000 |